# 1
Computed, not measured: a geometry-optimized Cs3Mn2PbCl9 structure at the PBE level of DFT.

Raw total energy   -4.2416 eV/atom
SG   P-3m1 (164)

Unit cell a=7.5161 b=7.5161 c=9.2787 alpha=90.00 beta=90.00 gamma=120.00
With the nearest neighbours (Å) after each atom.
Sites, in units of the cell vectors:
Mn (0.3333, 0.6667, 0.1537)  6 Cl 2.53-2.60
Cs (0.6667, 0.3333, 0.3268)  12 Cl 3.73-3.89
Cl (0.5000, 0.0000, 0.0000)  2 Mn 2.60
Cl (0.6461, 0.8231, 0.3156)  1 Mn 2.53
Cl (0.0000, 0.5000, 0.0000)  2 Mn 2.60
Cl (0.8231, 0.1769, 0.6844)  1 Mn 2.53
Cs (0.0000, 0.0000, 0.0000)  12 Cl 3.73-3.76
Cl (0.1769, 0.3539, 0.3156)  1 Mn 2.53
Cs (0.3333, 0.6667, 0.6732)  12 Cl 3.73-3.89
Cl (0.8231, 0.6461, 0.6844)  1 Mn 2.53
Pb (0.0000, 0.0000, 0.5000)  6 Cl 2.87
Cl (0.1769, 0.8231, 0.3156)  1 Mn 2.53
Mn (0.6667, 0.3333, 0.8463)  6 Cl 2.53-2.60
Cl (0.3539, 0.1769, 0.6844)  1 Mn 2.53
Cl (0.5000, 0.5000, 0.0000)  2 Mn 2.60


# 2
Computed, not measured: a geometry-optimized Tb6Sn2Hg structure at the PBE level of DFT.

Formation energy   -0.477 eV/atom
SG   P-62m (189)

Unit cell a=4.3642 b=8.3549 c=8.3548 alpha=120.00 beta=90.00 gamma=90.00
With the nearest neighbours (Å) after each atom.
Sites, in units of the cell vectors:
Tb (0.0000, 0.7436, 0.7436)  2 Hg 3.06, 2 Sn 3.16
Tb (0.0000, 0.2564, 0.0000)  2 Hg 3.06, 2 Sn 3.16
Tb (0.5000, 0.4062, 0.4062)  4 Sn 3.35, 1 Hg 3.39, 6 Tb 3.56-3.69
Sn (0.0000, 0.6667, 0.3333)  9 Tb 3.16-3.35
Tb (0.5000, 0.5938, 0.0000)  4 Sn 3.35, 1 Hg 3.39, 6 Tb 3.56-3.69
Tb (0.0000, 0.0000, 0.2564)  2 Hg 3.06, 2 Sn 3.16
Tb (0.5000, 0.0000, 0.5938)  4 Sn 3.35, 1 Hg 3.39, 6 Tb 3.56-3.69
Hg (0.5000, 0.0000, 0.0000)  9 Tb 3.06-3.39
Sn (0.0000, 0.3333, 0.6667)  9 Tb 3.16-3.35


# 3
Computed, not measured: a geometry-optimized Ac2HgPd6Pb structure at the PBE level of DFT.

Formation energy   -0.540 eV/atom
SG   C2/m (12)

Unit cell a=5.6716 b=9.3007 c=7.0022 alpha=47.86 beta=66.11 gamma=90.01
With the nearest neighbours (Å) after each atom.
Sites, in units of the cell vectors:
Pd (0.2684, 0.2742, 0.9566)  1 Pb 2.72, 1 Hg 2.74, 4 Pd 2.79-2.87
Ac (0.2574, 0.7329, 0.4847)  7 Pd 3.15-3.45
Pd (0.7744, 0.2738, 0.9568)  1 Pb 2.72, 1 Hg 2.74, 4 Pd 2.80-2.87
Pd (0.7316, 0.7258, 0.0434)  1 Pb 2.72, 1 Hg 2.74, 4 Pd 2.79-2.87
Ac (0.7426, 0.2671, 0.5153)  7 Pd 3.15-3.45
Pb (0.5000, 0.5000, 0.0000)  6 Pd 2.72-2.78
Pd (0.2256, 0.7262, 0.0433)  1 Pb 2.72, 1 Hg 2.74, 4 Pd 2.80-2.87
Hg (0.0000, 0.0000, 0.0000)  6 Pd 2.74-2.78
Pd (0.7519, 0.9381, 0.4962)  1 Pb 2.78, 1 Hg 2.78, 6 Pd 2.79-3.07
Pd (0.2481, 0.0619, 0.5038)  1 Pb 2.78, 1 Hg 2.78, 6 Pd 2.79-3.07


# 4
Computed, not measured: a geometry-optimized Ag3Cl structure at the PBE level of DFT.

Offset from the most stable computed form   0.202 eV/atom
SG   Immm (71)

Unit cell a=5.9328 b=5.9328 c=5.9328 alpha=148.77 beta=133.04 gamma=57.48
With the nearest neighbours (Å) after each atom.
Sites, in units of the cell vectors:
Ag (0.0015, 0.0015, 0.0000)  8 Ag 2.85-3.19, 2 Cl 3.04
Ag (0.4985, 0.4985, 0.0000)  8 Ag 2.85-3.19, 2 Cl 3.04
Cl (0.2500, 0.7500, 0.5000)  8 Ag 2.85-3.04, 2 Cl 3.19
Ag (0.7500, 0.2500, 0.5000)  4 Cl 2.85, 6 Ag 3.07-3.19


# 5
Computed, not measured: a geometry-optimized BeSe2F structure at the PBE level of DFT.

Offset from the most stable computed form   0.396 eV/atom
SG   R-3m (166)

Unit cell a=8.4418 b=8.4418 c=8.4418 alpha=20.71 beta=20.71 gamma=20.71
With the nearest neighbours (Å) after each atom.
Sites, in units of the cell vectors:
F (0.5000, 0.5000, 0.5000)  6 Se 2.67
Se (0.9148, 0.9148, 0.9148)  1 Be 2.11
Be (0.0000, 0.0000, 0.0000)  2 Se 2.11
Se (0.0852, 0.0852, 0.0852)  1 Be 2.11


# 6
Computed, not measured: a geometry-optimized KCd2Ag structure at the PBE level of DFT.

Offset from the most stable computed form   0.154 eV/atom
Formation energy   0.084 eV/atom
SG   Fm-3m (225)

Unit cell a=5.3219 b=5.3219 c=5.3219 alpha=60.00 beta=60.00 gamma=60.00
With the nearest neighbours (Å) after each atom.
Sites, in units of the cell vectors:
Cd (0.2500, 0.2500, 0.2500)  4 Ag 3.26, 4 K 3.26
K (0.0000, 0.0000, 0.0000)  8 Cd 3.26
Ag (0.5000, 0.5000, 0.5000)  8 Cd 3.26
Cd (0.7500, 0.7500, 0.7500)  4 Ag 3.26, 4 K 3.26


# 7
Computed, not measured: a geometry-optimized NiH2Pt structure at the PBE level of DFT.

Offset from the most stable computed form   0.000 eV/atom
SG   R-3m (166)

Unit cell a=2.7825 b=2.7825 c=5.2317 alpha=74.58 beta=74.58 gamma=60.00
With the nearest neighbours (Å) after each atom.
Sites, in units of the cell vectors:
Pt (0.0000, 0.0000, 0.0000)  2 H 1.77
Ni (0.5000, 0.5000, 0.5000)  6 H 1.76
H (0.1183, 0.1183, 0.6452)  3 Ni 1.76, 1 Pt 1.77
H (0.8817, 0.8817, 0.3548)  3 Ni 1.76, 1 Pt 1.77


# 8
Computed, not measured: a geometry-optimized K2PbAu structure at the PBE level of DFT.

Formation energy   -0.066 eV/atom
SG   I-4m2 (119)

Unit cell a=5.5598 b=5.5598 c=5.5598 alpha=119.78 beta=119.78 gamma=90.39
With the nearest neighbours (Å) after each atom.
Sites, in units of the cell vectors:
K (0.0000, 0.0000, 0.0000)  4 K 3.41, 4 Au 3.41
Au (0.7500, 0.2500, 0.5000)  4 K 3.41, 4 Pb 3.41
K (0.2500, 0.7500, 0.5000)  4 Pb 3.41, 4 K 3.41
Pb (0.5000, 0.5000, 0.0000)  4 K 3.41, 4 Au 3.41


# 9
Computed, not measured: a geometry-optimized DyTm2Al9 structure at the PBE level of DFT.

Formation energy   -0.414 eV/atom
SG   P4/mmm (123)

Unit cell a=4.2348 b=4.2348 c=12.7011 alpha=90.00 beta=90.00 gamma=90.00
With the nearest neighbours (Å) after each atom.
Sites, in units of the cell vectors:
Al (0.5000, 0.5000, 0.0000)  4 Dy 2.99, 8 Al 3.01
Al (0.0000, 0.5000, 0.5000)  4 Tm 2.99, 8 Al 2.99
Al (0.5000, 0.0000, 0.5000)  4 Tm 2.99, 8 Al 2.99
Al (0.5000, 0.0000, 0.8317)  8 Al 2.98-3.01, 2 Tm 2.99, 2 Dy 3.01
Al (0.5000, 0.5000, 0.3337)  8 Al 2.98-2.99, 4 Tm 2.99
Al (0.5000, 0.0000, 0.1683)  8 Al 2.98-3.01, 2 Tm 2.99, 2 Dy 3.01
Al (0.5000, 0.5000, 0.6663)  8 Al 2.98-2.99, 4 Tm 2.99
Tm (0.0000, 0.0000, 0.6659)  12 Al 2.99
Al (0.0000, 0.5000, 0.1683)  8 Al 2.98-3.01, 2 Tm 2.99, 2 Dy 3.01
Tm (0.0000, 0.0000, 0.3341)  12 Al 2.99
Dy (0.0000, 0.0000, 0.0000)  12 Al 2.99-3.01
Al (0.0000, 0.5000, 0.8317)  8 Al 2.98-3.01, 2 Tm 2.99, 2 Dy 3.01


# 10
Computed, not measured: a geometry-optimized KLiCu2I4 structure at the PBE level of DFT.

Raw total energy   -2.8804 eV/atom
SG   I222 (23)

Unit cell a=7.3436 b=7.3243 c=7.3243 alpha=73.27 beta=59.91 gamma=59.91
With the nearest neighbours (Å) after each atom.
Sites, in units of the cell vectors:
I (0.5677, 0.4981, 0.8445)  1 Cu 2.46
Li (0.5000, 0.5000, 0.5000)  4 I 2.80
I (0.4323, 0.1555, 0.5019)  1 Cu 2.46
I (0.0898, 0.8445, 0.4981)  1 Cu 2.46
K (0.0000, 0.0000, 0.0000)  8 I 3.78-3.80
Cu (0.1395, 0.3605, 0.3605)  2 I 2.46, 1 Cu 2.56
Cu (0.8605, 0.6395, 0.6395)  2 I 2.46, 1 Cu 2.56
I (0.9102, 0.5019, 0.1555)  1 Cu 2.46


# 11
Computed, not measured: a geometry-optimized Tb6PtSe5 structure at the PBE level of DFT.

Raw total energy   -5.9862 eV/atom
SG   C2/m (12)

Unit cell a=7.1416 b=7.1416 c=7.1204 alpha=99.69 beta=99.69 gamma=119.96
With the nearest neighbours (Å) after each atom.
Sites, in units of the cell vectors:
Tb (0.2411, 0.2411, 0.7551)  1 Pt 2.83, 5 Se 2.91-3.00
Tb (0.9215, 0.5986, 0.7598)  1 Pt 2.81, 5 Se 2.91-2.95
Tb (0.4014, 0.0785, 0.2402)  1 Pt 2.81, 5 Se 2.91-2.95
Se (0.1737, 0.8263, 0.5000)  6 Tb 2.92-2.96
Tb (0.0785, 0.4014, 0.2402)  1 Pt 2.81, 5 Se 2.91-2.95
Se (0.3347, 0.6653, 0.0000)  6 Tb 2.91-2.92
Tb (0.5986, 0.9215, 0.7598)  1 Pt 2.81, 5 Se 2.91-2.95
Se (0.8263, 0.1737, 0.5000)  6 Tb 2.92-2.96
Se (0.5000, 0.5000, 0.5000)  6 Tb 2.92-3.00
Tb (0.7589, 0.7589, 0.2449)  1 Pt 2.83, 5 Se 2.91-3.00
Pt (0.0000, 0.0000, 0.0000)  6 Tb 2.81-2.83
Se (0.6653, 0.3347, 0.0000)  6 Tb 2.91-2.92


# 12
Computed, not measured: a geometry-optimized InRhNO2 structure at the PBE level of DFT.

Raw total energy   -4.7746 eV/atom
SG   P4/mmm (123)

Unit cell a=4.1810 b=4.1810 c=4.1987 alpha=90.00 beta=90.00 gamma=90.00
With the nearest neighbours (Å) after each atom.
Sites, in units of the cell vectors:
In (0.0000, 0.0000, 0.0000)  4 O 2.09, 2 N 2.10
Rh (0.5000, 0.5000, 0.5000)  4 N 2.96, 8 O 2.96
O (0.0000, 0.5000, 0.0000)  2 In 2.09
O (0.5000, 0.0000, 0.0000)  2 In 2.09
N (0.0000, 0.0000, 0.5000)  2 In 2.10